No. 1
# BaCr2Pt | the Alexandria database | PBE-GGA | relaxed
# DFT formation energy: 0.2698 eV per atom
# crystal system: trigonal
# total magnetization: 23.1 Bohr magnetons per cell
# E: -6.53 eV per atom
# ΔE to the lowest computed polymorph: 0.176 eV per atom
data_BaCr2Pt
_symmetry_space_group_name_H-M 'R -3 m'
_symmetry_Int_Tables_number 166
_symmetry_space_group_name_Hall '-R 3 2"'
_cell_length_a 4.5200
_cell_length_b 4.5200
_cell_length_c 17.4191
_cell_angle_alpha 90.00
_cell_angle_beta 90.00
_cell_angle_gamma 120.00
loop_
_atom_site_label
_atom_site_type_symbol
_atom_site_fract_x
_atom_site_fract_y
_atom_site_fract_z
_atom_site_occupancy
Ba1 Ba 0.0000 0.0000 0.0000 1
Cr1 Cr 0.0000 0.0000 0.1915 1
Pt1 Pt 0.0000 0.0000 0.5000 1

=====

No. 2
# Ba2CrPt | the Alexandria database | PBE-GGA | relaxed
# DFT formation energy: 0.0725 eV per atom
# crystal system: tetragonal
# total magnetization: 5.0 Bohr magnetons per cell
# E: -4.80 eV per atom
# ΔE to the lowest computed polymorph: 0.235 eV per atom
data_Ba2CrPt
_symmetry_space_group_name_H-M 'P 4/m m m'
_symmetry_Int_Tables_number 123
_symmetry_space_group_name_Hall '-P 4 2'
_cell_length_a 3.950
_cell_length_b 3.950
_cell_length_c 8.359
_cell_angle_alpha 90.00
_cell_angle_beta 90.00
_cell_angle_gamma 90.00
loop_
_atom_site_label
_atom_site_type_symbol
_atom_site_fract_x
_atom_site_fract_y
_atom_site_fract_z
_atom_site_occupancy
Ba1 Ba 0.000 0.000 0.218 1
Cr1 Cr 0.500 0.500 0.500 1
Pt1 Pt 0.500 0.500 0.000 1

=====

No. 3
# Ba2CrPt | the Alexandria database | PBE-GGA | relaxed
# DFT formation energy: 0.1276 eV per atom
# crystal system: cubic
# total magnetization: 20.2 Bohr magnetons per cell
# E: -4.75 eV per atom
# ΔE to the lowest computed polymorph: 0.290 eV per atom
data_Ba2CrPt
_symmetry_space_group_name_H-M 'F m -3 m'
_symmetry_Int_Tables_number 225
_symmetry_space_group_name_Hall '-F 4 2 3'
_cell_length_a 7.965
_cell_length_b 7.965
_cell_length_c 7.965
_cell_angle_alpha 90.00
_cell_angle_beta 90.00
_cell_angle_gamma 90.00
loop_
_atom_site_label
_atom_site_type_symbol
_atom_site_fract_x
_atom_site_fract_y
_atom_site_fract_z
_atom_site_occupancy
Ba1 Ba 0.250 0.250 0.250 1
Cr1 Cr 0.000 0.000 0.000 1
Pt1 Pt 0.000 0.000 0.500 1

=====

No. 4
# BaCr2Pt | the Alexandria database | PBE-GGA | relaxed
# DFT formation energy: 0.5303 eV per atom
# crystal system: tetragonal
# total magnetization: 1.3 Bohr magnetons per cell
# E: -6.27 eV per atom
# ΔE to the lowest computed polymorph: 0.437 eV per atom
data_BaCr2Pt
_symmetry_space_group_name_H-M 'P 4/m m m'
_symmetry_Int_Tables_number 123
_symmetry_space_group_name_Hall '-P 4 2'
_cell_length_a 3.542
_cell_length_b 3.542
_cell_length_c 7.147
_cell_angle_alpha 90.00
_cell_angle_beta 90.00
_cell_angle_gamma 90.00
loop_
_atom_site_label
_atom_site_type_symbol
_atom_site_fract_x
_atom_site_fract_y
_atom_site_fract_z
_atom_site_occupancy
Ba1 Ba 0.000 0.000 0.000 1
Cr1 Cr 0.500 0.500 0.370 1
Pt1 Pt 0.000 0.000 0.500 1

=====

No. 5
# Ba2CrPt | the Alexandria database | PBE-GGA | relaxed
# DFT formation energy: -0.0147 eV per atom
# crystal system: orthorhombic
# total magnetization: 8.3 Bohr magnetons per cell
# E: -4.89 eV per atom
# ΔE to the lowest computed polymorph: 0.148 eV per atom
data_Ba2CrPt
_symmetry_space_group_name_H-M 'I m m 2'
_symmetry_Int_Tables_number 44
_symmetry_space_group_name_Hall 'I 2 -2'
_cell_length_a 4.487
_cell_length_b 4.670
_cell_length_c 14.980
_cell_angle_alpha 90.00
_cell_angle_beta 90.00
_cell_angle_gamma 90.00
loop_
_atom_site_label
_atom_site_type_symbol
_atom_site_fract_x
_atom_site_fract_y
_atom_site_fract_z
_atom_site_occupancy
Ba1 Ba 0.000 0.000 0.000 1
Ba2 Ba 0.000 0.500 0.254 1
Cr1 Cr 0.000 0.500 0.832 1
Pt1 Pt 0.000 0.000 0.410 1

=====

No. 6
# BaCrPt2 | the Alexandria database | PBE-GGA | relaxed
# DFT formation energy: 0.1100 eV per atom
# crystal system: tetragonal
# total magnetization: 4.2 Bohr magnetons per cell
# E: -5.80 eV per atom
# ΔE to the lowest computed polymorph: 0.513 eV per atom
data_BaCrPt2
_symmetry_space_group_name_H-M 'P 4/m m m'
_symmetry_Int_Tables_number 123
_symmetry_space_group_name_Hall '-P 4 2'
_cell_length_a 5.206
_cell_length_b 5.206
_cell_length_c 3.215
_cell_angle_alpha 90.00
_cell_angle_beta 90.00
_cell_angle_gamma 90.00
loop_
_atom_site_label
_atom_site_type_symbol
_atom_site_fract_x
_atom_site_fract_y
_atom_site_fract_z
_atom_site_occupancy
Ba1 Ba 0.000 0.000 0.000 1
Cr1 Cr 0.500 0.500 0.000 1
Pt1 Pt 0.000 0.500 0.500 1

=====

No. 7
# BaCrPt2 | the Alexandria database | PBE-GGA | relaxed
# DFT formation energy: 0.0607 eV per atom
# crystal system: orthorhombic
# total magnetization: 3.8 Bohr magnetons per cell
# E: -5.85 eV per atom
# ΔE to the lowest computed polymorph: 0.464 eV per atom
data_BaCrPt2
_symmetry_space_group_name_H-M 'P m m 2'
_symmetry_Int_Tables_number 25
_symmetry_space_group_name_Hall 'P 2 -2'
_cell_length_a 3.257
_cell_length_b 3.739
_cell_length_c 7.236
_cell_angle_alpha 90.00
_cell_angle_beta 90.00
_cell_angle_gamma 90.00
loop_
_atom_site_label
_atom_site_type_symbol
_atom_site_fract_x
_atom_site_fract_y
_atom_site_fract_z
_atom_site_occupancy
Ba1 Ba 0.000 0.000 0.000 1
Cr1 Cr 0.500 0.500 0.370 1
Pt1 Pt 0.000 0.000 0.492 1
Pt2 Pt 0.500 0.500 0.721 1

=====

No. 8
# BaCr2Pt | the Alexandria database | PBE-GGA | relaxed
# DFT formation energy: 0.5580 eV per atom
# crystal system: tetragonal
# total magnetization: 32.4 Bohr magnetons per cell
# E: -6.24 eV per atom
# ΔE to the lowest computed polymorph: 0.465 eV per atom
data_BaCr2Pt
_symmetry_space_group_name_H-M 'I 41/a m d'
_symmetry_Int_Tables_number 141
_cell_length_a 5.270
_cell_length_b 5.270
_cell_length_c 17.321
_cell_angle_alpha 90.00
_cell_angle_beta 90.00
_cell_angle_gamma 90.00
loop_
_symmetry_equiv_pos_as_xyz
'x,y,z'
'-x,-y,-z'
'-y+1/4,x+3/4,z+1/4'
'y+1/4,-x+3/4,-z+1/4'
'-x+1/2,-y,z+1/2'
'x+1/2,y,-z+1/2'
'y+1/4,-x+1/4,z+3/4'
'-y+1/4,x+1/4,-z+3/4'
'x,-y,-z'
'-x,y,z'
'-y+1/4,-x+1/4,-z+3/4'
'y+1/4,x+1/4,z+3/4'
'-x+1/2,y,-z+1/2'
'x+1/2,-y,z+1/2'
'y+1/4,x+3/4,-z+1/4'
'-y+1/4,-x+3/4,z+1/4'
'x+1/2,y+1/2,z+1/2'
'-x+1/2,-y+1/2,-z+1/2'
'-y+3/4,x+1/4,z+3/4'
'y+3/4,-x+1/4,-z+3/4'
'-x,-y+1/2,z'
'x,y+1/2,-z'
'y+3/4,-x+3/4,z+1/4'
'-y+3/4,x+3/4,-z+1/4'
'x+1/2,-y+1/2,-z+1/2'
'-x+1/2,y+1/2,z+1/2'
'-y+3/4,-x+3/4,-z+1/4'
'y+3/4,x+3/4,z+1/4'
'-x,y+1/2,-z'
'x,-y+1/2,z'
'y+3/4,x+1/4,-z+3/4'
'-y+3/4,-x+1/4,z+3/4'
loop_
_atom_site_label
_atom_site_type_symbol
_atom_site_fract_x
_atom_site_fract_y
_atom_site_fract_z
_atom_site_occupancy
Ba1 Ba 0.000 0.250 0.375 1
Cr1 Cr 0.000 0.000 0.000 1
Pt1 Pt 0.000 0.250 0.875 1

=====

No. 9
# BaCrPt2 | the Alexandria database | PBE-GGA | relaxed
# DFT formation energy: 0.2435 eV per atom
# crystal system: cubic
# total magnetization: 17.1 Bohr magnetons per cell
# E: -5.66 eV per atom
# ΔE to the lowest computed polymorph: 0.646 eV per atom
data_BaCrPt2
_symmetry_space_group_name_H-M 'F -4 3 m'
_symmetry_Int_Tables_number 216
_symmetry_space_group_name_Hall 'F -4 2 3'
_cell_length_a 6.973
_cell_length_b 6.973
_cell_length_c 6.973
_cell_angle_alpha 90.00
_cell_angle_beta 90.00
_cell_angle_gamma 90.00
loop_
_atom_site_label
_atom_site_type_symbol
_atom_site_fract_x
_atom_site_fract_y
_atom_site_fract_z
_atom_site_occupancy
Ba1 Ba 0.000 0.000 0.000 1
Cr1 Cr 0.250 0.250 0.250 1
Pt1 Pt 0.000 0.000 0.500 1
Pt2 Pt 0.250 0.250 0.750 1

=====

No. 10
# BaCr2RePt | the Alexandria database | PBE-GGA | relaxed
# DFT formation energy: 1.0208 eV per atom
# crystal system: tetragonal
# total magnetization: 7.9 Bohr magnetons per cell
# E: -6.91 eV per atom
data_BaCr2RePt
_symmetry_space_group_name_H-M 'P 4/m m m'
_symmetry_Int_Tables_number 123
_symmetry_space_group_name_Hall '-P 4 2'
_cell_length_a 5.103
_cell_length_b 5.103
_cell_length_c 4.890
_cell_angle_alpha 90.00
_cell_angle_beta 90.00
_cell_angle_gamma 90.00
loop_
_atom_site_label
_atom_site_type_symbol
_atom_site_fract_x
_atom_site_fract_y
_atom_site_fract_z
_atom_site_occupancy
Ba1 Ba 0.000 0.000 0.000 1
Cr1 Cr 0.000 0.500 0.500 1
Re1 Re 0.500 0.500 0.000 1
Pt1 Pt 0.500 0.500 0.500 1

=====

No. 11
# Ba2TiCrPt | the Alexandria database | PBE-GGA | relaxed
# DFT formation energy: 0.8277 eV per atom
# crystal system: tetragonal
# total magnetization: 1.2 Bohr magnetons per cell
# E: -4.65 eV per atom
data_Ba2TiCrPt
_symmetry_space_group_name_H-M 'P 4/m m m'
_symmetry_Int_Tables_number 123
_symmetry_space_group_name_Hall '-P 4 2'
_cell_length_a 6.034
_cell_length_b 6.034
_cell_length_c 4.375
_cell_angle_alpha 90.00
_cell_angle_beta 90.00
_cell_angle_gamma 90.00
loop_
_atom_site_label
_atom_site_type_symbol
_atom_site_fract_x
_atom_site_fract_y
_atom_site_fract_z
_atom_site_occupancy
Ba1 Ba 0.000 0.500 0.000 1
Ti1 Ti 0.000 0.000 0.000 1
Cr1 Cr 0.000 0.000 0.500 1
Pt1 Pt 0.500 0.500 0.500 1

=====

No. 12
# RbBaCr3 | the Alexandria database | PBE-GGA | relaxed
# DFT formation energy: 1.8422 eV per atom
# crystal system: cubic
# total magnetization: 15.5 Bohr magnetons per cell
# E: -4.51 eV per atom
# ΔE to the lowest computed polymorph: 0.026 eV per atom
data_RbBaCr3
_symmetry_space_group_name_H-M 'P m -3 m'
_symmetry_Int_Tables_number 221
_symmetry_space_group_name_Hall '-P 4 2 3'
_cell_length_a 6.016
_cell_length_b 6.016
_cell_length_c 6.016
_cell_angle_alpha 90.00
_cell_angle_beta 90.00
_cell_angle_gamma 90.00
loop_
_atom_site_label
_atom_site_type_symbol
_atom_site_fract_x
_atom_site_fract_y
_atom_site_fract_z
_atom_site_occupancy
Rb1 Rb 0.000 0.000 0.000 1
Ba1 Ba 0.500 0.500 0.500 1
Cr1 Cr 0.000 0.000 0.500 1

=====

No. 13
# RbBa2Cr | the Alexandria database | PBE-GGA | relaxed
# DFT formation energy: 0.6776 eV per atom
# crystal system: tetragonal
# total magnetization: 19.2 Bohr magnetons per cell
# E: -2.93 eV per atom
# ΔE to the lowest computed polymorph: 0.062 eV per atom
data_RbBa2Cr
_symmetry_space_group_name_H-M 'I -4 2 d'
_symmetry_Int_Tables_number 122
_symmetry_space_group_name_Hall 'I -4 2bw'
_cell_length_a 10.547
_cell_length_b 10.547
_cell_length_c 8.277
_cell_angle_alpha 90.00
_cell_angle_beta 90.00
_cell_angle_gamma 90.00
loop_
_atom_site_label
_atom_site_type_symbol
_atom_site_fract_x
_atom_site_fract_y
_atom_site_fract_z
_atom_site_occupancy
Rb1 Rb 0.000 0.000 0.000 1
Ba1 Ba 0.178 0.750 0.625 1
Cr1 Cr 0.000 0.000 0.500 1

=====

No. 14
# RbBaCr3 | the Alexandria database | PBE-GGA | relaxed
# DFT formation energy: 1.8157 eV per atom
# crystal system: cubic
# total magnetization: 15.2 Bohr magnetons per cell
# E: -4.54 eV per atom
# ΔE to the lowest computed polymorph: 0.000 eV per atom
data_RbBaCr3
_symmetry_space_group_name_H-M 'P m -3 m'
_symmetry_Int_Tables_number 221
_symmetry_space_group_name_Hall '-P 4 2 3'
_cell_length_a 6.448
_cell_length_b 6.448
_cell_length_c 6.448
_cell_angle_alpha 90.00
_cell_angle_beta 90.00
_cell_angle_gamma 90.00
loop_
_atom_site_label
_atom_site_type_symbol
_atom_site_fract_x
_atom_site_fract_y
_atom_site_fract_z
_atom_site_occupancy
Rb1 Rb 0.000 0.000 0.000 1
Ba1 Ba 0.500 0.500 0.500 1
Cr1 Cr 0.000 0.500 0.500 1